No. 1
BPbI3, optimized geometry, DFT PBE-GGA; formation energy from raw total energies = 2.2 eV/f.u.; crystal system = cubic; total DFT energy (no corrections) = -12.81 eV for the cell shown
1.0
5.2664 0.0000 0.0000
0.0000 5.2664 0.0000
0.0000 0.0000 5.2664
Pb I B
1 3 1
Cartesian
2.6332 2.6332 2.6332 Pb
0.0000 2.6332 0.0000 I
0.0000 0.0000 2.6332 I
2.6332 0.0000 0.0000 I
0.0000 0.0000 0.0000 B

***

No. 2
CaZrTl2Hg, optimized geometry, DFT PBE-GGA; E_form = 0.579 eV per atom; crystal system = tetragonal; total DFT energy (no corrections) = -12.69 eV for the cell shown
1.0
5.5706 0.0000 0.0000
0.0000 5.5530 0.0000
0.0000 0.0000 5.5706
Tl Ca Hg Zr
2 1 1 1
Cartesian
0.0000 0.0000 2.7853 Tl
2.7853 0.0000 0.0000 Tl
2.7853 2.7765 2.7853 Ca
0.0000 0.0000 0.0000 Hg
0.0000 2.7765 0.0000 Zr

***

No. 3
ScMo2P, optimized geometry, DFT PBE-GGA; E_form = -0.078 eV per atom; crystal system = trigonal; total DFT energy (no corrections) = -33.71 eV for the cell shown
1.0
7.5732 -1.6426 0.0060
7.5732 1.6426 0.0060
7.2147 0.0000 2.8284
Sc Mo P
1 2 1
Cartesian
0.0000 0.0000 0.0000 Sc
17.2413 0.0000 2.1901 Mo
5.1198 0.0000 0.6503 Mo
11.1805 0.0000 1.4202 P

***

No. 4
YCuP2, optimized geometry, DFT PBE-GGA; E_form = -0.672 eV per atom; crystal system = orthorhombic; total DFT energy (no corrections) = -24.07 eV for the cell shown
1.0
3.7393 0.0000 0.0000
0.0000 3.8858 -0.0615
0.0000 0.0818 5.1256
Cu P Y
1 2 1
Cartesian
1.8696 2.9757 3.7981 Cu
0.0000 2.9193 0.0926 P
0.0000 2.9504 2.3780 P
1.8696 0.9919 1.2660 Y

***

No. 5
SmDyAlIn, optimized geometry, DFT PBE-GGA; E_form = -0.426 eV per atom; crystal system = tetragonal; total DFT energy (no corrections) = -17.51 eV for the cell shown
1.0
-1.4619 2.7196 -2.0310
-0.6595 -2.3968 -2.7347
-6.7970 -1.4685 2.9261
Sm Dy Al In
1 1 1 1
Cartesian
-1.8611 -0.0115 -2.0383 Sm
-5.1144 -0.7144 -0.6378 Dy
-2.4798 -0.5358 1.0675 Al
-5.7705 -1.2467 2.4841 In

***

No. 6
Hf3InSe, optimized geometry, DFT PBE-GGA; formation energy from raw total energies = -1.8 eV/f.u.; crystal system = orthorhombic; total DFT energy (no corrections) = -75.84 eV for the cell shown
1.0
-0.5303 -1.8503 -2.6901
7.5990 -3.6127 0.9858
-1.2749 -6.7865 4.9178
Hf In Se
6 2 2
Cartesian
1.0554 -7.7910 1.6375 Hf
5.4040 -10.0933 2.3626 Hf
4.7121 -4.9217 -1.0552 Hf
-0.9505 -7.5725 3.9166 Hf
3.9356 -7.6736 0.9906 Hf
2.8118 -4.8778 1.3226 Hf
3.0033 -8.6480 3.8775 In
1.4582 -3.7011 -1.2523 In
5.7805 -5.7110 1.3105 Se
0.1220 -5.2930 2.1368 Se

***

No. 7
CdIrPb2O6, optimized geometry, DFT PBE-GGA; formation energy from raw total energies = -9.5 eV/f.u.; crystal system = monoclinic; total DFT energy (no corrections) = -112.91 eV for the cell shown
1.0
-3.1981 2.5989 3.9390
3.7057 -1.9513 4.2961
4.4773 6.8416 -0.7545
Cd Ir Pb O
2 2 4 12
Cartesian
-1.5990 1.2994 1.9695 Cd
4.0915 2.4451 1.7708 Cd
0.6396 4.7202 1.5922 Ir
1.8529 -0.9756 2.1481 Ir
4.6938 -0.0481 3.9513 Pb
3.7963 5.4815 3.7615 Pb
0.2911 7.5373 3.5293 Pb
1.1886 2.0077 3.7190 Pb
1.7251 -0.3054 4.0094 O
2.9379 4.1130 6.2661 O
3.2598 7.7945 3.4712 O
2.0470 3.3761 1.2145 O
3.5945 2.3364 4.1070 O
4.3560 6.9924 5.8405 O
1.3904 5.1528 3.3736 O
0.6289 0.4968 1.6401 O
0.2379 2.7676 5.7744 O
5.4569 4.1617 5.0290 O
4.7470 4.7215 1.7062 O
-0.4720 3.3275 2.4516 O

***

No. 8
NaInI4, optimized geometry, DFT PBE-GGA; formation energy from raw total energies = -4.6 eV/f.u.; crystal system = monoclinic; total DFT energy (no corrections) = -59.46 eV for the cell shown
1.0
8.1537 0.0000 0.0000
0.0000 8.7034 -0.0303
0.0000 0.8174 15.9229
Na In I
4 4 16
Cartesian
0.0036 7.6862 5.8838 Na
4.0805 1.4259 2.0474 Na
8.1500 1.8346 10.0088 Na
4.0732 8.0949 13.8452 Na
1.4967 6.6303 9.5333 In
5.5735 3.2992 14.3207 In
6.6570 2.8905 6.3593 In
2.5802 6.2216 1.5719 In
2.6277 6.2933 7.0532 I
6.7045 2.8188 0.8779 I
5.5260 3.2275 8.8394 I
1.4492 6.7020 15.0147 I
1.1025 1.9918 6.8318 I
5.1793 7.1203 1.0993 I
7.0512 7.5290 9.0608 I
2.9743 2.4005 14.7933 I
2.7037 8.7816 10.8430 I
6.7805 1.1478 13.0110 I
5.4500 0.7391 5.0496 I
1.3732 8.3729 2.8816 I
1.6128 4.4110 11.1427 I
5.6897 5.5185 12.7114 I
6.5408 5.1098 4.7499 I
2.4640 4.0023 3.1812 I

***

No. 9
Cd3GaAg3, optimized geometry, DFT PBE-GGA; E_form = -0.005 eV per atom; crystal system = monoclinic; total DFT energy (no corrections) = -28.72 eV for the cell shown
1.0
-1.0932 4.9568 -2.3161
-1.0182 -4.5316 -3.0915
-9.3356 -0.4046 4.0481
Cd Ga Ag
6 2 6
Cartesian
-4.6271 0.0878 -1.5224 Cd
-5.6990 -3.0869 -0.9328 Cd
-5.7480 3.1075 -0.4266 Cd
-1.0311 -2.8913 -2.9574 Cd
-1.0802 3.3165 -2.4501 Cd
-6.8198 -0.0672 0.1629 Cd
-9.5789 -0.1086 0.4020 Ga
-1.8681 0.1292 -1.7615 Ga
-2.3492 -0.0999 0.9950 Ag
-8.6022 2.3183 -0.7164 Ag
-8.5656 -2.3060 -1.0943 Ag
-2.8447 -2.2977 -0.6430 Ag
-2.8813 2.3266 -0.2651 Ag
-9.0978 0.1205 -2.3544 Ag

***

No. 10
Ac2Al3Cd4In, optimized geometry, DFT PBE-GGA; E_form = -0.301 eV per atom; crystal system = tetragonal; total DFT energy (no corrections) = -28.85 eV for the cell shown
1.0
-0.7937 -1.6339 -4.2787
4.3053 1.2152 -1.2627
3.9359 -10.5264 3.2896
Ac Al Cd In
2 3 4 1
Cartesian
0.5644 -3.3877 -1.3360 Ac
5.1273 -7.3480 1.8549 Ac
1.9679 -5.2632 1.6448 Al
3.0190 -9.9525 0.7156 Al
2.6727 -0.7832 -0.1967 Al
1.7558 -0.2094 -2.7707 Cd
0.0000 0.0000 0.0000 Cd
2.1322 -7.5809 -0.0255 Cd
3.5594 -3.1548 0.5445 Cd
3.7238 -5.4726 -1.1259 In

***

No. 11
YErTlRu, optimized geometry, DFT PBE-GGA; E_form = -0.266 eV per atom; crystal system = cubic; total DFT energy (no corrections) = -23.73 eV for the cell shown
1.0
5.0654 0.0000 0.0000
2.5327 4.3868 0.0000
2.5327 1.4623 4.1359
Y Ru Tl Er
1 1 1 1
Cartesian
5.0654 2.9245 2.0679 Y
7.5981 4.3868 3.1019 Ru
2.5327 1.4623 1.0340 Tl
0.0000 0.0000 0.0000 Er

***

No. 12
KZrAl2, optimized geometry, DFT PBE-GGA; E_form = 0.315 eV per atom; crystal system = trigonal; total DFT energy (no corrections) = -15.87 eV for the cell shown
1.0
11.2818 0.0075 0.0044
10.8482 3.0976 0.0044
10.8482 1.5221 2.6978
K Al Zr
1 2 1
Cartesian
16.6825 2.3407 1.3692 K
32.8462 4.6086 2.6957 Al
8.6846 1.2185 0.7128 Al
24.2321 3.4000 1.9888 Zr

***

What did the second record say?
CaZrTl2Hg, optimized geometry, DFT PBE-GGA; E_form = 0.579 eV per atom; crystal system = tetragonal; total DFT energy (no corrections) = -12.69 eV for the cell shown
1.0
5.5706 0.0000 0.0000
0.0000 5.5530 0.0000
0.0000 0.0000 5.5706
Tl Ca Hg Zr
2 1 1 1
Cartesian
0.0000 0.0000 2.7853 Tl
2.7853 0.0000 0.0000 Tl
2.7853 2.7765 2.7853 Ca
0.0000 0.0000 0.0000 Hg
0.0000 2.7765 0.0000 Zr

***

> The lowest total DFT energy (no corrections) belongs to which entry?

CdIrPb2O6